Material: Er6Bi2Ru
Method: DFT, PBE
State: optimized geometry

The total energy is -5.12 eV per atom. The calculation puts the formation energy at -0.181 eV per atom. The calculation puts the magnetization at 0.00 μB/f.u.

The structure belongs to space group P4_2/mnm (No. 136); the cell edges are 6.782, 6.782 and 13.789 Å and the angles 90.00°, 90.00° and 90.00°. The distinct sites, in fractional coordinates, are Er at (0.184, 0.184, 0.142), Er at (0.222, 0.222, 0.500), Bi at (0.000, 0.000, 0.330) and Ru at (0.000, 0.000, 0.000).